DFT (PBE) results for a relaxed URe2Ir crystal.

Output
crystal system: tetragonal
energy relative to the elements: -0.5 eV/f.u.

Lattice parameters (Å, degrees): 4.052 4.052 4.067 90.00 90.00 90.00
Atoms (fractional coordinates):
U: 0.000 0.000 0.000
Re: 0.000 0.500 0.500
Re: 0.500 0.000 0.500
Ir: 0.500 0.500 0.000